[1]
Entry from Alexandria: a geometry-optimized LiCrNiO4 structure (PBE+U).

Cell lengths 5.8625, 5.8625, 5.8625 Å; angles 119.67, 120.05, 90.24 degrees
Closest atoms and distances in Å follow each position.
Sites, in units of the cell vectors:
Ni 0.5000 0.0000 0.0000  6 O 1.97-2.05
Ni 0.5000 0.5000 0.5000  6 O 1.97-2.05
O 0.2528 0.2839 0.5310  2 Cr 1.95, 1 Li 1.97, 1 Ni 2.05
O 0.2606 0.7323 0.5282  1 Cr 1.93, 2 Ni 1.97, 1 Li 2.01
O 0.7472 0.2782 0.0310  2 Cr 1.95, 1 Li 1.97, 1 Ni 2.05
O 0.7041 0.7323 0.9718  1 Cr 1.93, 2 Ni 1.97, 1 Li 2.01
O 0.2959 0.2677 0.0282  1 Cr 1.93, 2 Ni 1.97, 1 Li 2.01
O 0.7394 0.2677 0.4718  1 Cr 1.93, 2 Ni 1.97, 1 Li 2.01
O 0.7472 0.7161 0.4690  2 Cr 1.95, 1 Li 1.97, 1 Ni 2.05
O 0.2528 0.7218 0.9690  2 Cr 1.95, 1 Li 1.97, 1 Ni 2.05
Cr 0.5000 0.5000 0.0000  6 O 1.93-1.95
Cr 0.0000 0.5000 0.5000  6 O 1.93-1.95
Li 0.8756 0.1256 0.7500  4 O 1.97-2.01
Li 0.1244 0.8744 0.2500  4 O 1.97-2.01

Computed properties:
- DFT total energy: -5.968 eV/atom
- Crystal system: orthorhombic
- SG: Imma (74)



[2]
Entry from Alexandria: a geometry-optimized Li4CrNi3O8 structure (PBE+U).

Cell lengths 10.1588, 10.1588, 14.3751 Å; angles 19.40, 19.40, 33.43 degrees
Closest atoms and distances in Å follow each position.
Sites, in units of the cell vectors:
O 0.9998 0.5233 0.2407  1 Cr 1.95, 2 Ni 2.05, 3 Li 2.09-2.18
O 0.9996 0.9996 0.7371  3 Ni 1.96-1.97, 3 Li 2.19
O 0.4771 0.4771 0.2867  1 Cr 1.96, 2 Ni 2.05, 3 Li 2.09-2.18
O 0.0004 0.0004 0.2629  3 Ni 1.96-1.97, 3 Li 2.19
O 0.4767 0.0002 0.7593  1 Cr 1.95, 2 Ni 2.05, 3 Li 2.09-2.18
O 0.5233 0.9998 0.2407  1 Cr 1.95, 2 Ni 2.05, 3 Li 2.09-2.18
O 0.5229 0.5229 0.7133  1 Cr 1.96, 2 Ni 2.05, 3 Li 2.09-2.18
O 0.0002 0.4767 0.7593  1 Cr 1.95, 2 Ni 2.05, 3 Li 2.09-2.18
Ni 0.0000 0.5000 0.0000  6 O 1.96-2.05
Ni 0.5000 0.5000 0.0000  6 O 1.97-2.05
Ni 0.5000 0.0000 0.0000  6 O 1.96-2.05
Li 0.0000 0.0000 0.5000  6 O 2.18
Li 0.5000 0.0000 0.5000  6 O 2.09-2.19
Li 0.5000 0.5000 0.5000  6 O 2.09-2.19
Li 0.0000 0.5000 0.5000  6 O 2.09-2.19
Cr 0.0000 0.0000 0.0000  6 O 1.95-1.96

Computed properties:
- DFT total energy: -5.388 eV/atom
- Crystal system: trigonal
- SG: R-3m (166)



[3]
Entry from Alexandria: a geometry-optimized Li2CrNiO4 structure (PBE+U).

Cell lengths 2.9284, 5.0975, 5.0866 Å; angles 108.93, 90.00, 90.00 degrees
Closest atoms and distances in Å follow each position.
Sites, in units of the cell vectors:
O 0.0000 0.2288 0.7270  2 Cr 1.99, 3 Li 2.07-2.18, 1 Ni 2.08
O 0.0000 0.7712 0.2730  2 Cr 1.99, 3 Li 2.07-2.18, 1 Ni 2.08
O 0.5000 0.2240 0.2652  1 Cr 1.90, 2 Ni 2.07, 2 Li 2.11
O 0.5000 0.7760 0.7348  1 Cr 1.90, 2 Ni 2.07, 2 Li 2.11
Li 0.5000 0.5000 0.0000  6 O 2.18-2.24
Li 0.0000 0.5000 0.5000  6 O 2.07-2.11
Cr 0.5000 0.0000 0.5000  6 O 1.90-1.99
Ni 0.0000 0.0000 0.0000  6 O 2.07-2.08

Computed properties:
- DFT total energy: -5.815 eV/atom
- Crystal system: monoclinic
- SG: P2/m (10)



[4]
Entry from Alexandria: a geometry-optimized Li4Cr3NiO8 structure (PBE+U).

Cell lengths 5.9188, 5.1054, 5.1287 Å; angles 70.48, 90.00, 90.00 degrees
Closest atoms and distances in Å follow each position.
Sites, in units of the cell vectors:
O 0.2658 0.2599 0.2242  2 Cr 1.95-2.03, 1 Ni 2.09, 2 Li 2.10-2.16
O 0.2658 0.7401 0.7758  2 Cr 1.95-2.03, 1 Ni 2.09, 2 Li 2.10-2.16
O 0.7342 0.7401 0.7758  2 Cr 1.95-2.03, 1 Ni 2.09, 2 Li 2.10-2.16
O 0.5000 0.2467 0.7752  3 Cr 2.00-2.04, 3 Li 2.18
O 0.0000 0.2343 0.7677  2 Cr 2.02, 1 Ni 2.08, 3 Li 2.10-2.13
O 0.7342 0.2599 0.2242  2 Cr 1.95-2.03, 1 Ni 2.09, 2 Li 2.10-2.16
O 0.5000 0.7533 0.2248  3 Cr 2.00-2.04, 3 Li 2.18
O 0.0000 0.7657 0.2323  2 Cr 2.02, 1 Ni 2.08, 3 Li 2.10-2.13
Li 0.0000 0.0000 0.5000  6 O 2.10-2.23
Li 0.2422 0.5000 0.5000  6 O 2.13-2.18
Li 0.7578 0.5000 0.5000  6 O 2.13-2.18
Li 0.5000 0.0000 0.5000  6 O 2.10-2.18
Cr 0.7510 0.0000 0.0000  6 O 2.02-2.04
Cr 0.2490 0.0000 0.0000  6 O 2.02-2.04
Cr 0.5000 0.5000 0.0000  6 O 1.95-2.00
Ni 0.0000 0.5000 0.0000  6 O 2.08-2.09

Computed properties:
- DFT total energy: -6.401 eV/atom
- Crystal system: monoclinic
- SG: P2/m (10)
- Distance to the lowest polymorph of the same formula: 0 meV/atom



[5]
Entry from Alexandria: a geometry-optimized Li2Cr3NiO8 structure (PBE+U).

Cell lengths 5.9449, 5.9449, 5.9449 Å; angles 59.06, 59.06, 59.06 degrees
Closest atoms and distances in Å follow each position.
Sites, in units of the cell vectors:
O 0.7075 0.2495 0.2495  2 Cr 1.89, 2 Li 2.00-2.12
O 0.2599 0.2599 0.2599  3 Cr 1.99, 1 Li 2.01
O 0.7503 0.2881 0.7503  2 Cr 1.95, 1 Ni 1.97, 1 Li 2.10
O 0.2881 0.7503 0.7503  2 Cr 1.95, 1 Ni 1.97, 1 Li 2.10
O 0.7403 0.7403 0.7403  1 Ni 2.02, 3 Cr 2.02
O 0.2495 0.7075 0.2495  2 Cr 1.89, 2 Li 2.00-2.12
O 0.7503 0.7503 0.2881  2 Cr 1.95, 1 Ni 1.97, 1 Li 2.10
O 0.2495 0.2495 0.7075  2 Cr 1.89, 2 Li 2.00-2.12
Cr 0.0060 0.4982 0.4982  6 O 1.89-2.02
Cr 0.4982 0.4982 0.0060  6 O 1.89-2.02
Cr 0.4982 0.0060 0.4982  6 O 1.89-2.02
Li 0.5009 0.5009 0.5009  6 O 2.10-2.12
Li 0.1230 0.1230 0.1230  4 O 2.00-2.01
Ni 0.8782 0.8782 0.8782  4 O 1.97-2.02

Computed properties:
- DFT total energy: -6.540 eV/atom
- Crystal system: trigonal
- SG: R3m (160)
- Distance to the lowest polymorph of the same formula: 27 meV/atom



[6]
Entry from Alexandria: a geometry-optimized Li2CrNiO4 structure (PBE+U).

Cell lengths 5.1566, 5.1565, 5.1582 Å; angles 133.75, 133.75, 67.48 degrees
Closest atoms and distances in Å follow each position.
Sites, in units of the cell vectors:
Ni 0.9999 0.0001 0.0000  6 O 1.99-2.03
Cr 0.7501 0.2499 0.5000  6 O 1.99-2.03
O 0.7676 0.7676 0.0000  1 Ni 1.99, 2 Cr 2.03, 2 Li 2.03
O 0.5183 0.0183 0.4999  1 Cr 1.99, 2 Li 2.03, 2 Ni 2.03
O 0.2324 0.2324 0.0000  1 Ni 1.99, 2 Cr 2.03, 2 Li 2.03
O 0.9817 0.4817 0.5001  1 Cr 1.99, 2 Li 2.03, 2 Ni 2.03
Li 0.2500 0.7500 0.5000  4 O 2.03
Li 0.5000 0.5000 0.0000  4 O 2.03

Computed properties:
- DFT total energy: -5.857 eV/atom
- Crystal system: tetragonal
- SG: I-4m2 (119)



[7]
Entry from Alexandria: a geometry-optimized Li4Cr3NiO8 structure (PBE+U).

Cell lengths 5.1289, 5.1054, 5.9200 Å; angles 89.98, 106.93, 99.45 degrees
Closest atoms and distances in Å follow each position.
Sites, in units of the cell vectors:
Cr 0.0000 0.5000 0.0000  6 O 1.94-2.00
Cr 0.0002 0.0001 0.2510  6 O 2.01-2.04
Cr 0.9998 0.9999 0.7490  6 O 2.01-2.04
Li 0.4940 0.7487 0.8700  6 O 2.11-2.20
Li 0.4956 0.7530 0.3789  6 O 2.11-2.29
Li 0.5060 0.2513 0.1300  6 O 2.11-2.20
Li 0.5044 0.2470 0.6211  6 O 2.11-2.29
O 0.2263 0.3730 0.2912  2 Cr 1.95-2.03, 1 Ni 2.09, 2 Li 2.11-2.16
O 0.7744 0.1342 0.9435  3 Cr 2.00-2.04, 3 Li 2.15-2.20
O 0.2225 0.3722 0.8225  2 Cr 1.94-2.03, 1 Ni 2.08, 2 Li 2.14-2.15
O 0.7697 0.1197 0.4417  2 Cr 2.01-2.02, 1 Ni 2.07, 3 Li 2.11-2.13
O 0.2256 0.8658 0.0565  3 Cr 2.00-2.04, 3 Li 2.15-2.20
O 0.7737 0.6270 0.7088  2 Cr 1.95-2.03, 1 Ni 2.09, 2 Li 2.11-2.16
O 0.7775 0.6278 0.1775  2 Cr 1.94-2.03, 1 Ni 2.08, 2 Li 2.14-2.15
O 0.2303 0.8803 0.5583  2 Cr 2.01-2.02, 1 Ni 2.07, 3 Li 2.11-2.13
Ni 0.0000 0.5000 0.5000  6 O 2.07-2.09

Computed properties:
- DFT total energy: -6.401 eV/atom
- Crystal system: triclinic
- SG: P-1 (2)
- Distance to the lowest polymorph of the same formula: 0 meV/atom



[8]
Entry from Alexandria: a geometry-optimized Li3CrNi2O6 structure (PBE+U).

Cell lengths 6.6249, 6.6249, 5.8402 Å; angles 77.34, 77.34, 25.33 degrees
Closest atoms and distances in Å follow each position.
Sites, in units of the cell vectors:
O 0.5013 0.5013 0.7289  2 Cr 1.98, 3 Li 2.11-2.15, 1 Ni 2.12
O 0.1686 0.1686 0.9311  3 Ni 1.98-2.08, 3 Li 2.09-2.13
O 0.1562 0.1562 0.4046  1 Cr 1.97, 2 Ni 2.01, 2 Li 2.18
O 0.4987 0.4987 0.2711  2 Cr 1.98, 3 Li 2.11-2.15, 1 Ni 2.12
O 0.8314 0.8314 0.0689  3 Ni 1.98-2.08, 3 Li 2.09-2.13
O 0.8438 0.8438 0.5954  1 Cr 1.97, 2 Ni 2.01, 2 Li 2.18
Li 0.6682 0.6682 0.6747  6 O 2.09-2.21
Li 0.0000 0.0000 0.0000  6 O 2.13-2.15
Li 0.3318 0.3318 0.3253  6 O 2.09-2.21
Ni 0.3333 0.3333 0.8382  6 O 1.98-2.12
Ni 0.6667 0.6667 0.1618  6 O 1.98-2.12
Cr 0.0000 0.0000 0.5000  6 O 1.97-1.98

Computed properties:
- DFT total energy: -5.547 eV/atom
- Crystal system: monoclinic
- SG: C2/m (12)